Record 1
{
  "formula": "Li2ErTiS4",
  "functional": "PBE-GGA",
  "state": "optimized geometry",
  "cell": [[6.420, 0.000, 0.000], [0.000, 3.689, 0.000], [-2.136, 0.000, 6.138]],
  "species": ["Li", "Li", "Er", "Ti", "S", "S", "S", "S"],
  "fractional_positions": [[0.000, 0.000, 0.000], [0.500, 0.500, 0.000], [0.000, 0.500, 0.500], [0.500, 0.000, 0.500], [0.267, 0.000, 0.748], [0.270, 0.500, 0.262], [0.730, 0.500, 0.738], [0.733, 0.000, 0.252]],
  "e_form_raw_ev_per_atom": -1.584,
  "volume_a3_per_atom": 18.171,
  "e_tot_ev_per_cell": -45.5,
  "total_magnetization_mub_per_cell": 0.98,
  "space_group": "P2/m"
}



Record 2
{
  "formula": "Er2AlNi12B3",
  "functional": "PBE-GGA",
  "state": "optimized geometry",
  "cell": [[3.529, 2.037, 5.341], [-3.529, 2.037, 5.341], [0.000, -4.075, 5.341]],
  "species": ["Er", "Er", "Al", "Ni", "Ni", "Ni", "Ni", "Ni", "Ni", "Ni", "Ni", "Ni", "Ni", "Ni", "Ni", "B", "B", "B"],
  "fractional_positions": [[0.094, 0.094, 0.094], [0.906, 0.906, 0.906], [0.500, 0.500, 0.500], [0.075, 0.642, 0.642], [0.228, 0.228, 0.624], [0.228, 0.624, 0.228], [0.358, 0.358, 0.925], [0.358, 0.925, 0.358], [0.376, 0.772, 0.772], [0.624, 0.228, 0.228], [0.642, 0.075, 0.642], [0.642, 0.642, 0.075], [0.772, 0.376, 0.772], [0.772, 0.772, 0.376], [0.925, 0.358, 0.358], [0.000, 0.500, 0.500], [0.500, 0.000, 0.500], [0.500, 0.500, 0.000]],
  "volume_a3_per_atom": 12.800,
  "e_tot_ev_per_cell": -104.9,
  "total_magnetization_mub_per_cell": 0.00,
  "space_group": "R-3m"
}